{
  "formula": "SrIn2I",
  "functional": "PBE",
  "state": "optimized geometry",
  "cell": [[-6.329, 4.205, 5.832], [-2.175, -8.525, 3.786], [-1.920, -1.760, 7.051]],
  "species": ["Sr", "Sr", "In", "In", "In", "In", "I", "I"],
  "frac_coords": [[0.500, 0.500, 0.000], [0.250, 0.750, 0.500], [0.117, 0.625, 0.250], [0.875, 0.883, 0.750], [0.633, 0.125, 0.250], [0.375, 0.367, 0.750], [0.750, 0.250, 0.500], [0.000, 0.000, 0.000]],
  "total_magnetization_mub_per_fu": 0.000,
  "volume_a3_per_atom": 37.4,
  "formation_energy_uncorrected_ev_per_atom": -0.27,
  "e_tot_ev_per_atom": -2.442
}